The following is a PBEsol calculation of a geometry-optimized SrMo2Pt structure, from Alexandria via LeMat-Bulk.

Unit cell a=2.7970 b=2.7970 c=9.2659 alpha=90.00 beta=90.00 gamma=90.00
Sites, in units of the cell vectors:
Sr (0.0000, 0.0000, 0.0000)
Mo (0.0000, 0.0000, 0.4658)
Mo (0.5000, 0.5000, 0.6991)
Pt (0.5000, 0.5000, 0.2708)

## Properties
The crystal system is tetragonal. For the mass density, the calculation gives 10.872 g/cm3. The volume comes out at 72.5 Å³/cell. The calculation puts the calculated formation energy at 0.385 eV per atom. As for the total energy: -7.700 eV per atom. The value obtained for the total magnetization is 0.000 μB per atom.